1.
Crystalline SrAl2Ni at its relaxed geometry. Source: Alexandria via LeMat-Bulk, functional PBEsol.

Cell lengths 3.1996, 3.2265, 7.3583 Å; angles 90.00, 90.00, 90.00 degrees
Fractional positions:
Sr  0.5000  0.5000  0.7278
Al  0.0000  0.0000  0.0646
Al  0.5000  0.5000  0.2937
Ni  0.0000  0.0000  0.4139

Values from the calculation:
Formation energy = -0.128 eV/atom
E_tot = -16.69 eV per cell
Magnetic moment = 0.0 μB/f.u.

2.
Crystalline LaSc2Tl2 at its relaxed geometry. Source: Alexandria via LeMat-Bulk, functional PBEsol.

Cell lengths 4.5299, 4.5299, 7.3052 Å; angles 108.06, 108.06, 90.00 degrees
Fractional positions:
Sc  0.2500  0.7500  0.5000
Tl  0.6080  0.6080  0.2160
Tl  0.3920  0.3920  0.7840
La  0.0000  0.0000  0.0000
Sc  0.7500  0.2500  0.5000

Values from the calculation:
Formation energy = -0.294 eV/atom
E_tot = -25.29 eV per cell
ΔE to the lowest computed polymorph = 7 meV/atom
Magnetic moment = 0.0 μB/f.u.

3.
Crystalline La2SbTe at its relaxed geometry. Source: Alexandria via LeMat-Bulk, functional PBEsol.

Cell lengths 4.5384, 4.5384, 6.4057 Å; angles 90.00, 90.00, 90.00 degrees
Fractional positions:
La  0.0000  0.0000  0.5000
La  0.5000  0.5000  0.0000
Sb  0.0000  0.0000  0.0000
Te  0.5000  0.5000  0.5000

Values from the calculation:
Formation energy from raw total energies = -1.464 eV/atom
E_tot = -24.63 eV per cell
Magnetic moment = 0.0 μB/f.u.

Question: What is the E_tot in the second record?
Answer: -25.29 eV per cell